[1]
Zn2CuPt | PBEsol | relaxed

Lattice parameters (Å, degrees): 4.4807 4.4807 2.7688 90.00 90.00 106.51
With the nearest neighbours (Å) after each atom.
Atoms (fractional coordinates):
Zn (0.0000, 0.5000, 0.0000)  4 Pt 2.63, 4 Cu 2.63, 4 Zn 2.68-2.77
Zn (0.5000, 0.0000, 0.0000)  4 Pt 2.63, 4 Cu 2.63, 4 Zn 2.68-2.77
Cu (0.0000, 0.0000, 0.5000)  8 Zn 2.63, 2 Pt 2.68, 2 Cu 2.77
Pt (0.5000, 0.5000, 0.5000)  8 Zn 2.63, 2 Cu 2.68, 2 Pt 2.77

Calculated values
- ΔH_f (0 K) (meV per atom) = -329
- space group = Cmmm, No. 65


[2]
NaMgTe2Pb | PBEsol | relaxed

Lattice parameters (Å, degrees): 5.5257 5.5257 5.2815 90.00 90.00 90.00
With the nearest neighbours (Å) after each atom.
Atoms (fractional coordinates):
Na (0.0000, 0.0000, 0.0000)  2 Pb 2.64, 4 Te 2.76
Mg (0.5000, 0.5000, 0.5000)  8 Te 3.82, 4 Pb 3.91
Te (0.0000, 0.5000, 0.0000)  2 Na 2.76
Te (0.5000, 0.0000, 0.0000)  2 Na 2.76
Pb (0.0000, 0.0000, 0.5000)  2 Na 2.64

Calculated values
- raw formation energy (eV per atom) = 0.36
- space group = P4/mmm, No. 123


[3]
Mn2CoAu | PBEsol | relaxed

Lattice parameters (Å, degrees): 4.2533 4.2533 4.2533 60.00 60.00 60.00
With the nearest neighbours (Å) after each atom.
Atoms (fractional coordinates):
Mn (0.2500, 0.2500, 0.2500)  4 Au 2.60, 4 Co 2.60
Mn (0.7500, 0.7500, 0.7500)  4 Au 2.60, 4 Co 2.60
Co (0.0000, 0.0000, 0.0000)  8 Mn 2.60
Au (0.5000, 0.5000, 0.5000)  8 Mn 2.60

Calculated values
- ΔH_f (0 K) (meV per atom) = 209
- space group = Fm-3m, No. 225
- distance to the lowest polymorph of the same formula (meV per atom) = 78


[4]
LiLu2Ir | PBEsol | relaxed

Lattice parameters (Å, degrees): 4.7392 4.7392 4.7392 60.00 60.00 60.00
With the nearest neighbours (Å) after each atom.
Atoms (fractional coordinates):
Li (0.0000, 0.0000, 0.0000)  8 Lu 2.90
Lu (0.2500, 0.2500, 0.2500)  4 Li 2.90, 4 Ir 2.90
Lu (0.7500, 0.7500, 0.7500)  4 Li 2.90, 4 Ir 2.90
Ir (0.5000, 0.5000, 0.5000)  8 Lu 2.90

Calculated values
- ΔH_f (0 K) (meV per atom) = -657
- space group = Fm-3m, No. 225


[5]
AlCdW2 | PBEsol | relaxed

Lattice parameters (Å, degrees): 3.2938 4.3332 4.5190 90.00 90.00 90.00
With the nearest neighbours (Å) after each atom.
Atoms (fractional coordinates):
Al (0.0000, 0.0000, 0.0000)  4 Cd 2.72, 4 W 2.80
Cd (0.5000, 0.5000, 0.0000)  4 Al 2.72, 4 W 2.80
W (0.0000, 0.5000, 0.5000)  4 W 2.72, 4 Cd 2.80
W (0.5000, 0.0000, 0.5000)  4 W 2.72, 4 Al 2.80

Calculated values
- ΔH_f (0 K) (meV per atom) = 387
- space group = Pmmm, No. 47
- distance to the lowest polymorph of the same formula (meV per atom) = 108


[6]
K2SbP | PBEsol | relaxed

Lattice parameters (Å, degrees): 4.3880 4.3880 5.2527 90.00 90.00 90.00
With the nearest neighbours (Å) after each atom.
Atoms (fractional coordinates):
K (0.0000, 0.5000, 0.0000)  4 K 3.10, 4 Sb 3.42, 4 P 3.42
K (0.5000, 0.0000, 0.0000)  4 K 3.10, 4 Sb 3.42, 4 P 3.42
Sb (0.0000, 0.0000, 0.5000)  4 P 3.10, 8 K 3.42
P (0.5000, 0.5000, 0.5000)  4 Sb 3.10, 8 K 3.42

Calculated values
- raw formation energy (eV per atom) = -0.10
- space group = P4/mmm, No. 123
- distance to the lowest polymorph of the same formula (meV per atom) = 219


[7]
ZnHgS2 | PBEsol | relaxed

Lattice parameters (Å, degrees): 6.9320 6.9320 6.9320 33.12 33.12 33.12
With the nearest neighbours (Å) after each atom.
Atoms (fractional coordinates):
Zn (0.0000, 0.0000, 0.0000)  4 S 2.30-2.38
Hg (0.5044, 0.5044, 0.5044)  4 S 2.51
S (0.1173, 0.1173, 0.1173)  1 Zn 2.30, 3 Hg 2.51
S (0.6321, 0.6321, 0.6321)  3 Zn 2.38, 1 Hg 2.51

Calculated values
- raw formation energy (eV per atom) = -0.45
- space group = R3m, No. 160


[8]
Ca2IrPt | PBEsol | relaxed

Lattice parameters (Å, degrees): 3.6520 3.6520 6.2626 90.00 90.00 90.00
With the nearest neighbours (Å) after each atom.
Atoms (fractional coordinates):
Ca (0.0000, 0.0000, 0.0000)  1 Ir 2.72, 4 Pt 2.86
Ca (0.5000, 0.5000, 0.3618)  1 Pt 2.76, 4 Ir 2.88
Ir (0.0000, 0.0000, 0.5651)  5 Ca 2.72-2.88, 4 Pt 2.98
Pt (0.5000, 0.5000, 0.8019)  5 Ca 2.76-2.86, 4 Ir 2.98

Calculated values
- ΔH_f (0 K) (meV per atom) = 15
- space group = P4mm, No. 99


| no. | volume (A^3/atom) | M_tot (μB per atom) | uncorrected energy (eV/atom) |
| --- | --- | --- | --- |
| 1 | 13.3 | 0.00 | -3.945 |
| 2 | 32.3 | 0.00 | -2.475 |
| 3 | 13.6 | 2.25 | -7.587 |
| 4 | 18.8 | 0.00 | -6.040 |
| 5 | 16.1 | 0.00 | -7.839 |
| 6 | 25.3 | 0.00 | -3.258 |
| 7 | 22.1 | 0.00 | -3.179 |
| 8 | 20.9 | 0.00 | -5.248 |